Model a:
! NaFeOs3 | Alexandria via LeMat-Bulk | PBE | relaxed; values from VASP
! Magnetization ... 0.00 μB per formula unit
&SYSTEM
  ibrav = 0, nat = 5, ntyp = 3
/
ATOMIC_SPECIES
Os 190.23 Os.upf
Fe 55.84 Fe.upf
Na 22.99 Na.upf
CELL_PARAMETERS angstrom
-2.601 1.549 3.292
-3.638 -1.043 -2.384
-0.058 -4.064 1.866
ATOMIC_POSITIONS crystal
Os 0.000 0.000 0.500
Os 0.000 0.500 0.000
Os 0.500 0.000 0.000
Fe 0.000 0.000 0.000
Na 0.500 0.500 0.500

Model b:
! NaFeOs3 | Alexandria via LeMat-Bulk | PBE | relaxed; values from VASP
! Magnetization ... 0.00 μB per formula unit
&SYSTEM
  ibrav = 0, nat = 5, ntyp = 3
/
ATOMIC_SPECIES
Os 190.23 Os.upf
Na 22.99 Na.upf
Fe 55.84 Fe.upf
CELL_PARAMETERS angstrom
-0.507 2.934 -3.170
1.632 -2.824 -2.875
-3.999 -1.525 -0.772
ATOMIC_POSITIONS crystal
Os 0.500 0.000 0.000
Os 0.000 0.500 0.000
Na 0.000 0.000 0.000
Os 0.000 0.000 0.500
Fe 0.500 0.500 0.500

Energy ordering: model a at the bottom, the next structure 153.4 kJ/mol of atoms above.

Model a:
! Na2Fe2Pb | Alexandria via LeMat-Bulk | PBE | relaxed; values from VASP
! Magnetization ... 4.92 μB per formula unit
&SYSTEM
  ibrav = 0, nat = 10, ntyp = 3
/
ATOMIC_SPECIES
Na 22.99 Na.upf
Fe 55.84 Fe.upf
Pb 207.20 Pb.upf
CELL_PARAMETERS angstrom
6.665 0.000 0.000
0.000 6.665 0.000
0.000 0.000 5.098
ATOMIC_POSITIONS crystal
Na 0.177 0.677 0.500
Na 0.677 0.823 0.500
Fe 0.113 0.387 0.000
Fe 0.613 0.113 0.000
Pb 0.000 0.000 0.000
Pb 0.500 0.500 0.000
Fe 0.887 0.613 0.000
Fe 0.387 0.887 0.000
Na 0.323 0.177 0.500
Na 0.823 0.323 0.500

Model b:
! Na2Fe2Pb | Alexandria via LeMat-Bulk | PBE | relaxed; values from VASP
! Magnetization ... 5.85 μB per formula unit
&SYSTEM
  ibrav = 0, nat = 5, ntyp = 3
/
ATOMIC_SPECIES
Na 22.99 Na.upf
Fe 55.84 Fe.upf
Pb 207.20 Pb.upf
CELL_PARAMETERS angstrom
-3.602 -1.622 -0.740
1.783 -3.303 -1.436
-0.959 -5.246 5.251
ATOMIC_POSITIONS crystal
Na 0.750 0.250 0.500
Na 0.250 0.750 0.500
Fe 0.422 0.422 0.155
Pb 0.000 0.000 0.000
Fe 0.578 0.578 0.845

Energy ordering: model a at the bottom, the next structure 19.4 kJ/mol of atoms above.

Model a:
! RbNaFe2 | Alexandria via LeMat-Bulk | PBE | relaxed; values from VASP
! Magnetization ... 5.86 μB per formula unit
&SYSTEM
  ibrav = 0, nat = 8, ntyp = 3
/
ATOMIC_SPECIES
Fe 55.84 Fe.upf
Rb 85.47 Rb.upf
Na 22.99 Na.upf
CELL_PARAMETERS angstrom
4.748 0.000 0.000
0.000 4.748 0.000
2.374 2.374 10.905
ATOMIC_POSITIONS crystal
Fe 0.375 0.125 0.250
Fe 0.375 0.625 0.750
Fe 0.375 0.625 0.250
Rb 0.750 0.250 0.500
Fe 0.875 0.625 0.750
Na 0.500 0.500 0.000
Na 0.250 0.750 0.500
Rb 0.000 0.000 0.000

Model b:
! RbNaFe2 | Alexandria via LeMat-Bulk | PBE | relaxed; values from VASP
! Magnetization ... 6.39 μB per formula unit
&SYSTEM
  ibrav = 0, nat = 4, ntyp = 3
/
ATOMIC_SPECIES
Fe 55.84 Fe.upf
Rb 85.47 Rb.upf
Na 22.99 Na.upf
CELL_PARAMETERS angstrom
0.000 3.833 3.833
3.833 0.000 3.833
3.833 3.833 0.000
ATOMIC_POSITIONS crystal
Fe 0.750 0.750 0.750
Fe 0.250 0.250 0.250
Rb 0.500 0.500 0.500
Na 0.000 0.000 0.000

Energy ordering: model a at the bottom, the next structure 28.5 kJ/mol of atoms above.

Model a:
! Na2FeRe | Alexandria via LeMat-Bulk | PBE | relaxed; values from VASP
! Magnetization ... 2.41 μB per formula unit
&SYSTEM
  ibrav = 0, nat = 4, ntyp = 3
/
ATOMIC_SPECIES
Re 186.21 Re.upf
Fe 55.84 Fe.upf
Na 22.99 Na.upf
CELL_PARAMETERS angstrom
0.000 3.287 3.287
3.287 0.000 3.287
3.287 3.287 0.000
ATOMIC_POSITIONS crystal
Re 0.500 0.500 0.500
Fe 0.000 0.000 0.000
Na 0.750 0.750 0.750
Na 0.250 0.250 0.250

Model b:
! Na2FeRe | Alexandria via LeMat-Bulk | PBE | relaxed; values from VASP
! Magnetization ... 4.12 μB per formula unit
&SYSTEM
  ibrav = 0, nat = 8, ntyp = 3
/
ATOMIC_SPECIES
Fe 55.84 Fe.upf
Na 22.99 Na.upf
Re 186.21 Re.upf
CELL_PARAMETERS angstrom
8.233 0.000 0.000
0.000 8.233 0.000
4.116 4.116 2.363
ATOMIC_POSITIONS crystal
Fe 0.250 0.750 0.500
Na 0.592 0.125 0.250
Na 0.875 0.842 0.750
Re 0.000 0.000 0.000
Re 0.750 0.250 0.500
Na 0.375 0.408 0.750
Na 0.158 0.625 0.250
Fe 0.500 0.500 0.000

Energy ordering: model b at the bottom, the next structure 42.7 kJ/mol of atoms above.